The following is a DFT calculation (PBE) of crystalline HfSb2PIr at its relaxed geometry.

distance to the lowest polymorph of the same formula = 0 meV per atom
raw formation energy = 0.8214 eV/atom

a b c (Å): 4.9728 4.7128 4.9728
angles (deg): 90.00 90.00 90.00
Fractional positions:
Sb (0.0000, 0.0000, 0.5000)
Sb (0.5000, 0.0000, 0.0000)
Ir (0.5000, 0.5000, 0.5000)
Hf (0.0000, 0.5000, 0.0000)
P (0.0000, 0.0000, 0.0000)

---

The following is a DFT calculation (PBE) of crystalline HfSn2PIr at its relaxed geometry.

formation enthalpy at 0 K = 0.537 eV/atom

a b c (Å): 5.2213 4.2803 5.2213
angles (deg): 90.00 90.00 90.00
Fractional positions:
P (0.0000, 0.0000, 0.0000)
Ir (0.0000, 0.5000, 0.0000)
Hf (0.5000, 0.5000, 0.5000)
Sn (0.0000, 0.0000, 0.5000)
Sn (0.5000, 0.0000, 0.0000)

---

The following is a DFT calculation (PBE) of crystalline HfTh2P3Ir4 at its relaxed geometry.

formation enthalpy at 0 K = -0.993 eV/atom

a b c (Å): 4.0749 4.0749 10.8412
angles (deg): 90.00 90.00 90.00
Fractional positions:
Hf (0.5000, 0.5000, 0.5000)
Th (0.5000, 0.0000, 0.2298)
Th (0.0000, 0.5000, 0.7702)
P (0.0000, 0.0000, 0.5000)
P (0.5000, 0.0000, 0.8688)
P (0.0000, 0.5000, 0.1312)
Ir (0.5000, 0.5000, 0.0000)
Ir (0.0000, 0.0000, 0.0000)
Ir (0.5000, 0.0000, 0.6509)
Ir (0.0000, 0.5000, 0.3491)

---

The following is a DFT calculation (PBE) of crystalline Hf2TlPIr at its relaxed geometry.

formation enthalpy at 0 K = 0.163 eV/atom

a b c (Å): 5.1741 4.3750 5.1741
angles (deg): 90.00 90.00 90.00
Fractional positions:
P (0.0000, 0.5000, 0.0000)
Tl (0.5000, 0.5000, 0.5000)
Ir (0.0000, 0.0000, 0.0000)
Hf (0.0000, 0.0000, 0.5000)
Hf (0.5000, 0.0000, 0.0000)

---

The following is a DFT calculation (PBE) of crystalline HfP2IrW at its relaxed geometry.

formation enthalpy at 0 K = 1.609 eV/atom

a b c (Å): 4.7390 4.7847 4.7390
angles (deg): 90.00 90.00 90.00
Fractional positions:
P (0.0000, 0.0000, 0.5000)
P (0.5000, 0.0000, 0.0000)
Ir (0.0000, 0.5000, 0.0000)
Hf (0.0000, 0.0000, 0.0000)
W (0.5000, 0.5000, 0.5000)

---

The following is a DFT calculation (PBE) of crystalline HfPaIr at its relaxed geometry.

formation enthalpy at 0 K = -0.216 eV/atom
distance to the lowest polymorph of the same formula = 243 meV per atom

a b c (Å): 3.5683 5.5971 6.7982
angles (deg): 90.00 90.00 90.00
Fractional positions:
Hf (0.5000, 0.7500, 0.7828)
Hf (0.5000, 0.2500, 0.2172)
Pa (0.0000, 0.2500, 0.6363)
Pa (0.0000, 0.7500, 0.3637)
Ir (0.0000, 0.0000, 0.0000)
Ir (0.0000, 0.5000, 0.0000)

---

Total moment: 0.000, 0.000, 0.000, 0.000, 0.033, 0.673 (μB/f.u.)